(i)
{"formula": "YSe2NF", "functional": "GGA-PBE", "state": "optimized geometry", "dos_at_fermi_per_ev_atom": 0.6275, "space_group": "P4/mmm", "cell": [[-2.862, -4.413, 2.120], [3.885, -0.553, 4.095], [-2.352, 2.777, 2.606]], "species": ["Y", "N", "Se", "Se", "F"], "fractional_positions": [[0.000, 0.000, 0.000], [0.000, 0.000, 0.500], [0.000, 0.500, 0.000], [0.500, 0.000, 0.000], [0.500, 0.500, 0.500]]}

***

(ii)
{"formula": "YSe2NF", "functional": "GGA-PBE", "state": "optimized geometry", "dos_at_fermi_per_ev_atom": 0.5395, "space_group": "P4/mmm", "cell": [[-1.720, 4.095, -0.733], [-3.559, -1.859, -2.036], [-2.053, -0.189, 3.763]], "species": ["Y", "N", "Se", "Se", "F"], "fractional_positions": [[0.500, 0.500, 0.500], [0.000, 0.000, 0.500], [0.000, 0.500, 0.000], [0.500, 0.000, 0.000], [0.000, 0.000, 0.000]]}

***

Which of them is least stable? Easy: (i).

***

(i)
{"formula": "YSeN2F", "functional": "GGA-PBE", "state": "optimized geometry", "dos_at_fermi_per_ev_atom": 0.4666, "space_group": "P4/mmm", "cell": [[4.606, 0.000, 0.000], [0.000, 4.606, 0.000], [0.000, 0.000, 5.832]], "species": ["Y", "N", "N", "Se", "F"], "fractional_positions": [[0.000, 0.000, 0.000], [0.000, 0.500, 0.000], [0.500, 0.000, 0.000], [0.000, 0.000, 0.500], [0.500, 0.500, 0.500]]}

***

(ii)
{"formula": "YSeN2F", "functional": "GGA-PBE", "state": "optimized geometry", "dos_at_fermi_per_ev_atom": 0.3833, "space_group": "P4/mmm", "cell": [[-0.551, 2.969, 2.684], [-4.001, -0.469, -0.304], [0.088, -2.703, 3.009]], "species": ["Y", "N", "N", "Se", "F"], "fractional_positions": [[0.500, 0.500, 0.500], [0.000, 0.500, 0.000], [0.500, 0.000, 0.000], [0.000, 0.000, 0.000], [0.000, 0.000, 0.500]]}

***

Which of them is least stable? Easy: (i).

***

(i)
{"formula": "YSeN2F", "functional": "GGA-PBE", "state": "optimized geometry", "dos_at_fermi_per_ev_atom": 0.5062, "space_group": "P4/mmm", "cell": [[4.227, 0.000, 0.000], [0.000, 4.227, 0.000], [0.000, 0.000, 3.942]], "species": ["Y", "N", "N", "Se", "F"], "fractional_positions": [[0.500, 0.500, 0.500], [0.000, 0.500, 0.000], [0.500, 0.000, 0.000], [0.000, 0.000, 0.500], [0.000, 0.000, 0.000]]}

***

(ii)
{"formula": "YSeN2F", "functional": "GGA-PBE", "state": "optimized geometry", "dos_at_fermi_per_ev_atom": 0.7423, "space_group": "P4/mmm", "cell": [[-2.987, -1.388, -3.165], [-2.744, -1.591, 3.287], [-1.923, 3.707, 0.190]], "species": ["Y", "N", "N", "Se", "F"], "fractional_positions": [[0.000, 0.000, 0.000], [0.000, 0.500, 0.000], [0.500, 0.000, 0.000], [0.500, 0.500, 0.500], [0.000, 0.000, 0.500]]}

***

Which of them is least stable? Easy: (i).

***

(i)
{"formula": "YSeNF2", "functional": "GGA-PBE", "state": "optimized geometry", "dos_at_fermi_per_ev_atom": 0.4590, "space_group": "P4/mmm", "cell": [[-1.549, 3.778, 2.181], [-2.574, -2.660, 2.780], [2.856, -0.229, 2.425]], "species": ["Y", "N", "Se", "F", "F"], "fractional_positions": [[0.500, 0.500, 0.500], [0.000, 0.000, 0.500], [0.000, 0.000, 0.000], [0.000, 0.500, 0.000], [0.500, 0.000, 0.000]]}

***

(ii)
{"formula": "YSeNF2", "functional": "GGA-PBE", "state": "optimized geometry", "dos_at_fermi_per_ev_atom": 0.7905, "space_group": "P4/mmm", "cell": [[-0.558, 4.063, 1.103], [-3.596, 0.119, -2.256], [-2.605, -1.465, 4.075]], "species": ["Y", "N", "Se", "F", "F"], "fractional_positions": [[0.000, 0.000, 0.000], [0.000, 0.000, 0.500], [0.500, 0.500, 0.500], [0.000, 0.500, 0.000], [0.500, 0.000, 0.000]]}

***

Which of them is least stable? Easy: (i).

***

(i)
{"formula": "ZnSeN2F", "functional": "GGA-PBE", "state": "optimized geometry", "dos_at_fermi_per_ev_atom": 0.4131, "space_group": "P4/mmm", "cell": [[4.017, 0.000, 0.000], [0.000, 4.017, 0.000], [0.000, 0.000, 4.558]], "species": ["Zn", "N", "N", "Se", "F"], "fractional_positions": [[0.500, 0.500, 0.500], [0.000, 0.500, 0.000], [0.500, 0.000, 0.000], [0.000, 0.000, 0.500], [0.000, 0.000, 0.000]]}

***

(ii)
{"formula": "ZnSeN2F", "functional": "GGA-PBE", "state": "optimized geometry", "dos_at_fermi_per_ev_atom": 0.5431, "space_group": "P4/mmm", "cell": [[3.795, 0.000, 0.000], [0.000, 3.795, 0.000], [0.000, 0.000, 5.850]], "species": ["Zn", "N", "N", "Se", "F"], "fractional_positions": [[0.000, 0.000, 0.000], [0.000, 0.500, 0.000], [0.500, 0.000, 0.000], [0.000, 0.000, 0.500], [0.500, 0.500, 0.500]]}

***

(iii)
{"formula": "ZnSeN2F", "functional": "GGA-PBE", "state": "optimized geometry", "dos_at_fermi_per_ev_atom": 0.6108, "space_group": "P4/mmm", "cell": [[-1.111, -1.146, -3.651], [1.799, -3.512, 0.555], [-3.229, -1.428, 1.430]], "species": ["Zn", "N", "N", "Se", "F"], "fractional_positions": [[0.000, 0.000, 0.000], [0.000, 0.500, 0.000], [0.500, 0.000, 0.000], [0.500, 0.500, 0.500], [0.000, 0.000, 0.500]]}

***

Which of them is least stable? Easy: (i).

***

(i)
{"formula": "SiNF3", "functional": "GGA-PBE", "state": "optimized geometry", "dos_at_fermi_per_ev_atom": 0.1476, "space_group": "Pm-3m", "cell": [[-1.245, 1.775, -3.218], [-2.964, -2.494, -0.229], [-2.173, 2.385, 2.156]], "species": ["Si", "N", "F", "F", "F"], "fractional_positions": [[0.000, 0.000, 0.000], [0.500, 0.500, 0.500], [0.000, 0.500, 0.000], [0.000, 0.000, 0.500], [0.500, 0.000, 0.000]]}

***

(ii)
{"formula": "SiNF3", "functional": "GGA-PBE", "state": "optimized geometry", "dos_at_fermi_per_ev_atom": 0.6398, "space_group": "Pm-3m", "cell": [[3.920, 0.000, 0.000], [0.000, 3.920, 0.000], [0.000, 0.000, 3.920]], "species": ["Si", "N", "F", "F", "F"], "fractional_positions": [[0.500, 0.500, 0.500], [0.000, 0.000, 0.000], [0.000, 0.500, 0.000], [0.000, 0.000, 0.500], [0.500, 0.000, 0.000]]}

***

Which of them is least stable? Easy: (ii).

***

(i)
{"formula": "SiN2F6", "functional": "GGA-PBE", "state": "optimized geometry", "dos_at_fermi_per_ev_atom": 0.2505, "space_group": "C2/m", "cell": [[2.644, 4.950, 0.027], [-2.644, 4.950, 0.027], [0.000, 0.118, 5.285]], "species": ["Si", "N", "N", "F", "F", "F", "F", "F", "F"], "fractional_positions": [[0.000, 0.000, 0.000], [0.227, 0.227, 0.684], [0.773, 0.773, 0.316], [0.103, 0.103, 0.239], [0.119, 0.673, 0.158], [0.673, 0.119, 0.158], [0.897, 0.897, 0.761], [0.881, 0.327, 0.842], [0.327, 0.881, 0.842]]}

***

(ii)
{"formula": "SiN2F6", "functional": "GGA-PBE", "state": "optimized geometry", "dos_at_fermi_per_ev_atom": 0.4865, "space_group": "P-3m1", "cell": [[2.518, -4.362, 0.000], [2.518, 4.362, 0.000], [0.000, 0.000, 5.000]], "species": ["Si", "N", "N", "F", "F", "F", "F", "F", "F"], "fractional_positions": [[0.000, 0.000, 0.000], [0.667, 0.333, 0.256], [0.333, 0.667, 0.744], [0.316, 0.158, 0.798], [0.842, 0.684, 0.798], [0.842, 0.158, 0.798], [0.684, 0.842, 0.202], [0.158, 0.316, 0.202], [0.158, 0.842, 0.202]]}

***

Which of them is least stable? Easy: (ii).

***

(i)
{"formula": "SrSiNF2", "functional": "GGA-PBE", "state": "optimized geometry", "dos_at_fermi_per_ev_atom": 0.2992, "space_group": "P4/mmm", "cell": [[4.505, 0.000, 0.000], [0.000, 4.505, 0.000], [0.000, 0.000, 5.175]], "species": ["Sr", "Si", "N", "F", "F"], "fractional_positions": [[0.000, 0.000, 0.000], [0.500, 0.500, 0.500], [0.000, 0.000, 0.500], [0.000, 0.500, 0.000], [0.500, 0.000, 0.000]]}

***

(ii)
{"formula": "SrSiNF2", "functional": "GGA-PBE", "state": "optimized geometry", "dos_at_fermi_per_ev_atom": 0.1965, "space_group": "P4/mmm", "cell": [[4.371, 0.000, 0.000], [0.000, 4.371, 0.000], [0.000, 0.000, 3.572]], "species": ["Sr", "Si", "N", "F", "F"], "fractional_positions": [[0.500, 0.500, 0.500], [0.000, 0.000, 0.000], [0.000, 0.000, 0.500], [0.000, 0.500, 0.000], [0.500, 0.000, 0.000]]}

***

Which of them is least stable? Easy: (i).

***

(i)
{"formula": "TaSiNF2", "functional": "GGA-PBE", "state": "optimized geometry", "dos_at_fermi_per_ev_atom": 0.7108, "space_group": "P4/mmm", "cell": [[-2.171, -1.832, -3.047], [-2.755, -1.390, 2.799], [-2.185, 3.377, -0.474]], "species": ["N", "Si", "F", "F", "Ta"], "fractional_positions": [[0.000, 0.000, 0.500], [0.500, 0.500, 0.500], [0.000, 0.500, 0.000], [0.500, 0.000, 0.000], [0.000, 0.000, 0.000]]}

***

(ii)
{"formula": "TaSiNF2", "functional": "GGA-PBE", "state": "optimized geometry", "dos_at_fermi_per_ev_atom": 0.7004, "space_group": "P4/mmm", "cell": [[-3.958, 1.341, 1.596], [-1.602, -4.148, -0.487], [0.951, -0.714, 2.959]], "species": ["N", "Si", "F", "F", "Ta"], "fractional_positions": [[0.000, 0.000, 0.500], [0.000, 0.000, 0.000], [0.000, 0.500, 0.000], [0.500, 0.000, 0.000], [0.500, 0.500, 0.500]]}

***

Which of them is least stable? Easy: (ii).

***

(i)
{"formula": "SiTcNF2", "functional": "GGA-PBE", "state": "optimized geometry", "dos_at_fermi_per_ev_atom": 0.2902, "space_group": "P4/mmm", "cell": [[-3.202, 0.334, -2.838], [1.046, -3.829, -1.631], [-2.027, -1.456, 2.116]], "species": ["Si", "N", "Tc", "F", "F"], "fractional_positions": [[0.000, 0.000, 0.000], [0.000, 0.000, 0.500], [0.500, 0.500, 0.500], [0.000, 0.500, 0.000], [0.500, 0.000, 0.000]]}

***

(ii)
{"formula": "SiTcNF2", "functional": "GGA-PBE", "state": "optimized geometry", "dos_at_fermi_per_ev_atom": 0.7913, "space_group": "P4/mmm", "cell": [[-1.487, -3.238, -2.261], [3.665, -2.032, 0.500], [-1.330, -1.614, 3.187]], "species": ["Si", "N", "Tc", "F", "F"], "fractional_positions": [[0.500, 0.500, 0.500], [0.000, 0.000, 0.500], [0.000, 0.000, 0.000], [0.000, 0.500, 0.000], [0.500, 0.000, 0.000]]}

***

Which of them is least stable? Easy: (ii).

***

(i)
{"formula": "TiSiNF2", "functional": "GGA-PBE", "state": "optimized geometry", "dos_at_fermi_per_ev_atom": 0.8304, "space_group": "P4/mmm", "cell": [[-3.905, -1.709, 0.214], [0.266, -1.121, -4.110], [1.310, -2.884, 0.871]], "species": ["N", "Si", "F", "F", "Ti"], "fractional_positions": [[0.000, 0.000, 0.500], [0.000, 0.000, 0.000], [0.000, 0.500, 0.000], [0.500, 0.000, 0.000], [0.500, 0.500, 0.500]]}

***

(ii)
{"formula": "TiSiNF2", "functional": "GGA-PBE", "state": "optimized geometry", "dos_at_fermi_per_ev_atom": 0.4806, "space_group": "P4/mmm", "cell": [[3.987, 0.000, 0.000], [0.000, 3.987, 0.000], [0.000, 0.000, 4.025]], "species": ["N", "Si", "F", "F", "Ti"], "fractional_positions": [[0.000, 0.000, 0.500], [0.500, 0.500, 0.500], [0.000, 0.500, 0.000], [0.500, 0.000, 0.000], [0.000, 0.000, 0.000]]}

***

Which of them is least stable? Easy: (i).

***

(i)
{"formula": "TlSiNF2", "functional": "GGA-PBE", "state": "optimized geometry", "space_group": "P4/mmm", "cell": [[4.520, 0.000, 0.000], [0.000, 4.520, 0.000], [0.000, 0.000, 3.272]], "species": ["Tl", "N", "Si", "F", "F"], "fractional_positions": [[0.500, 0.500, 0.500], [0.000, 0.000, 0.500], [0.000, 0.000, 0.000], [0.000, 0.500, 0.000], [0.500, 0.000, 0.000]]}

***

(ii)
{"formula": "TlSiNF2", "functional": "GGA-PBE", "state": "optimized geometry", "dos_at_fermi_per_ev_atom": 0.2034, "space_group": "P4/mmm", "cell": [[-3.699, -1.745, 1.770], [1.696, -4.092, -0.490], [1.736, 0.255, 3.879]], "species": ["Tl", "N", "Si", "F", "F"], "fractional_positions": [[0.000, 0.000, 0.000], [0.000, 0.000, 0.500], [0.500, 0.500, 0.500], [0.000, 0.500, 0.000], [0.500, 0.000, 0.000]]}

***

Which of them is least stable? Easy: (ii).